HgBrCl: optimized geometry, PBE.

Properties
Space group: Fmm2, No. 42
ΔE_f (raw) in eV per atom: -0.40
Total moment in Bohr magnetons per cell: 0.00

Lattice parameters (Å, degrees): 8.1554 7.3818 4.4269 83.34 64.03 32.63
Last column: nearest neighbours and their distance in Å.
Fractional positions:
1 Hg 0.0000 0.0000 0.0000  2 Cl 2.60, 2 Br 2.71
2 Br 0.3675 0.3675 0.6325  2 Hg 2.71
3 Cl 0.6215 0.6215 0.3785  2 Hg 2.60